DFT (PBE) results for a relaxed structure of FeCuBr3.

Geometry as POSCAR:
```
FeCuBr3
1.0
5.1024 0.0000 0.0000
0.0000 5.1024 0.0000
0.0000 0.0000 5.1024
Cu Fe Br
1 1 3
Direct
0.5000 0.5000 0.5000
0.0000 0.0000 0.0000
0.5000 0.0000 0.0000
0.0000 0.5000 0.0000
0.0000 0.0000 0.5000
```

Output
Relative energy among the computed polymorphs: 0.0 meV/atom
Space group: Pm-3m (221)
DOS(E_F): 1.139 states/eV per atom
Uncorrected formation energy: 214 meV per atom

=====

DFT (PBE) results for a relaxed structure of Ba2HoRe3O12.

Geometry as POSCAR:
```
Ba2HoRe3O12
1.0
7.1490 -0.1263 -0.0896
3.4207 6.2788 -0.0896
3.4207 1.9911 5.9554
O Re Ba Ho
12 3 2 1
Direct
0.2929 0.9147 0.2929
0.8905 0.8905 0.3844
0.6156 0.1095 0.1095
0.2929 0.2929 0.9147
0.3844 0.8905 0.8905
0.8905 0.3844 0.8905
0.1095 0.6156 0.1095
0.7071 0.7071 0.0853
0.1095 0.1095 0.6156
0.9147 0.2929 0.2929
0.0853 0.7071 0.7071
0.7071 0.0853 0.7071
0.0000 0.5000 0.0000
0.5000 0.0000 0.0000
0.0000 0.0000 0.5000
0.6283 0.6283 0.6283
0.3717 0.3717 0.3717
0.0000 0.0000 0.0000
```

Output
Space group: R-3m (166)
DOS(E_F): 0.581 states/eV per atom
Uncorrected formation energy: -2108 meV per atom

=====

| no. | VASP energy (eV per atom) |
| --- | --- |
| 1 | -3.302 |
| 2 | -7.956 |